# 1
Tb2Nd3ScS6, relaxed, DFT PBE; N(E_F) = 5.13 states/eV/cell; E_form (uncorrected) = -1.98 eV per atom
1.0
3.9280 0.0000 0.0000
0.0000 8.0092 0.2076
-1.9640 -2.3889 8.3327
S Nd Tb Sc
6 3 2 1
Cartesian
0.0000 1.8335 0.0699
1.9640 -0.0517 2.6556
1.9640 3.8000 2.9504
1.9640 3.7868 8.4705
0.0000 1.8203 5.5900
0.0000 5.6721 5.8848
1.9640 4.0046 0.1038
1.9640 -0.2625 5.5608
0.0000 5.8829 2.9796
0.0000 1.8687 2.8269
1.9640 3.7517 5.7135
1.9640 0.0000 0.0000

# 2
Li2Zn8Ir, relaxed, DFT PBE; N(E_F) = 2.62 states/eV/cell; formation enthalpy at 0 K = -1.49 eV per formula unit
1.0
3.7217 0.0000 -1.1301
-0.9977 7.3879 -3.2857
0.0712 -1.4013 6.9277
Zn Ir Li
8 1 2
Cartesian
-0.7791 5.7690 -2.5656
2.2676 5.1425 0.7744
2.0865 2.5476 0.1781
1.5745 6.3393 -1.5081
3.5742 0.2176 5.0775
1.2207 -0.3527 4.0200
0.5276 0.8441 1.7375
0.7087 3.4390 2.3338
1.8608 0.0000 -0.5650
2.8833 1.6357 2.8021
-0.0881 4.3509 -0.2902

# 3
Ba2ZrPb2, relaxed, DFT PBE; N(E_F) = 10.97 states/eV/cell; formation enthalpy at 0 K = -0.83 eV per formula unit
1.0
8.1553 0.0000 0.0000
0.0000 8.1553 0.0000
0.0000 0.0000 5.5389
Ba Zr Pb
4 2 4
Cartesian
6.7821 2.7045 2.7694
2.7045 1.3731 2.7694
1.3731 5.4508 2.7694
5.4508 6.7821 2.7694
0.0000 0.0000 0.0000
4.0776 4.0776 0.0000
1.1526 2.9250 0.0000
2.9250 7.0027 0.0000
7.0027 5.2303 0.0000
5.2303 1.1526 0.0000

# 4
PmErTh2, relaxed, DFT PBE; N(E_F) = 5.30 states/eV/cell; formation enthalpy at 0 K = 0.77 eV per formula unit
1.0
-1.2143 0.5914 3.2209
-1.6570 -2.5383 1.7350
9.8608 -4.4467 6.4276
Er Th Pm
1 2 1
Cartesian
3.4947 -3.1968 5.6917
-0.0058 -2.9529 6.2209
6.9952 -3.4407 5.1626
0.0000 0.0000 0.0000

# 5
Ba2Ac2Se5, relaxed, DFT PBE; N(E_F) = 0.00 states/eV/cell; E_form (uncorrected) = -2.05 eV per atom
1.0
-1.0558 -8.2985 -1.9101
7.3922 0.0473 -4.2912
0.2085 -2.0634 8.8494
Ac Se Ba
4 10 4
Cartesian
4.7059 -1.2980 -3.1359
0.8201 -2.8125 -1.3335
1.6305 -6.9532 -3.0654
5.5163 -5.4387 -4.8678
-0.3572 -6.9256 5.2296
1.4437 -5.9119 -0.1698
6.9022 -3.3891 -2.5815
0.0000 0.0000 0.0000
1.6162 -2.7671 5.3455
4.9287 -7.5475 -2.6973
3.1278 -8.5612 2.7020
3.1682 -4.1256 -3.1007
3.4172 -1.7534 -0.0539
5.1013 -4.4027 2.8179
4.7286 -4.9408 -0.4217
1.8164 -5.3739 3.0698
1.5603 -0.8151 2.6790
6.0404 -1.2010 1.8793

# 6
Gd2PbF, relaxed, DFT PBE; N(E_F) = 7.66 states/eV/cell; E_form (uncorrected) = -1.39 eV per atom
1.0
4.8448 0.0000 0.0000
2.4224 4.1957 0.0000
2.4224 1.3986 7.3080
Pb Gd F
1 2 1
Cartesian
4.8448 2.7972 3.6540
2.4224 1.3986 5.0764
7.2672 4.1957 2.2317
0.0000 0.0000 0.0000

# 7
LiMo2H, relaxed, DFT PBE; N(E_F) = 2.88 states/eV/cell; E_tot = -5.779 eV/atom
1.0
-0.1271 -2.6722 2.9796
-0.0937 1.2461 3.8043
-3.3413 -0.4273 2.1651
H Mo Li
1 2 1
Cartesian
0.0000 0.0000 0.0000
-2.6716 -1.3900 6.7117
-0.8905 -0.4633 2.2372
-1.7810 -0.9266 4.4745

# 8
CePr2Cd, relaxed, DFT PBE; N(E_F) = 7.77 states/eV/cell; formation enthalpy at 0 K = -0.26 eV per formula unit
1.0
-3.4600 1.0861 0.4670
-1.0109 -4.6108 3.2336
1.5494 2.9308 4.6634
Cd Pr Ce
1 2 1
Cartesian
-1.7300 0.5431 0.2335
0.7747 1.4654 2.3317
-0.5055 -2.3054 1.6168
-1.4608 -0.2969 4.1820

# 9
Nb6BiS12, relaxed, DFT PBE; N(E_F) = 8.64 states/eV/cell; E_form (uncorrected) = -0.52 eV per atom
1.0
-0.0939 -7.2397 1.6767
3.7601 2.9722 5.6798
-6.9964 2.1098 1.3537
S Bi Nb
12 1 6
Cartesian
0.9121 -4.5696 4.4757
0.4611 -1.5981 3.6328
-1.8203 -3.2293 5.1696
-4.2423 2.4119 4.2345
-3.1040 -4.8916 2.8605
-2.6104 -1.8444 2.3975
-5.6812 -1.4009 2.7399
-0.2262 2.7340 5.8498
-1.5099 1.0717 3.5406
-3.7913 -0.5595 5.0774
-0.7197 -0.3133 6.3128
2.3510 -0.7568 5.9704
0.0000 0.0000 0.0000
-4.0315 -2.8279 4.2965
-0.8508 -3.4423 2.8016
0.7013 0.6702 4.4138
-3.6306 0.3229 2.6715
0.3004 -2.4806 6.0387
-2.4794 1.2846 5.9086

# 10
Al3Ag7, relaxed, DFT PBE; N(E_F) = 2.81 states/eV/cell; formation enthalpy at 0 K = -0.29 eV per formula unit
1.0
3.8995 0.0000 0.0000
0.0000 10.7148 0.0942
0.0000 -0.7679 4.1196
Al Ag
3 7
Cartesian
1.9498 -0.3298 2.1111
0.0000 5.7457 3.2596
1.9498 7.8705 3.8246
0.0000 10.6015 0.1304
1.9498 3.8107 2.8931
0.0000 4.1794 0.8360
0.0000 1.6028 2.4850
1.9498 6.3132 1.2111
0.0000 8.2945 1.8308
1.9498 2.0299 0.4277

# 11
PuZnNiSn, relaxed, DFT PBE; N(E_F) = 11.09 states/eV/cell; formation enthalpy at 0 K = -0.73 eV per formula unit
1.0
-2.0663 -4.0935 1.2040
2.1155 -2.9032 3.0939
-1.8071 -0.5543 4.3477
Ni Zn Sn Pu
1 1 1 1
Cartesian
0.0000 0.0000 0.0000
-0.8790 -3.7755 4.3228
-0.4395 -1.8877 2.1614
-1.3185 -5.6632 6.4843

# 12
La2ZnCl, relaxed, DFT PBE; N(E_F) = 2.46 states/eV/cell; E_form (uncorrected) = -0.88 eV per atom
1.0
3.7035 0.0000 0.0000
0.0000 3.7372 -0.0279
0.0000 0.0646 8.3945
Zn La Cl
1 2 1
Cartesian
1.8517 0.9504 2.0916
0.0000 2.8326 3.9185
0.0000 2.8055 0.2369
1.8517 2.8513 6.2749

# 13
SrTh2FeN4, relaxed, DFT PBE; N(E_F) = 5.14 states/eV/cell; E_form (uncorrected) = -1.06 eV per atom
1.0
3.6659 0.0000 0.0000
-1.8329 6.0847 0.0000
0.0000 0.0000 12.0981
Th Sr N Fe
4 2 8 2
Cartesian
1.8329 1.6048 5.3964
0.0000 4.4798 6.7017
1.8329 1.6048 0.6526
0.0000 4.4798 11.4455
0.0000 1.1891 9.0736
1.8329 4.8956 3.0245
0.0000 5.0853 9.0736
0.0000 3.1341 4.6663
1.8329 2.9506 7.4318
0.0000 0.0000 6.0491
0.0000 3.1341 1.3827
0.0000 0.0000 0.0000
1.8329 0.9994 3.0245
1.8329 2.9506 10.7154
0.0000 2.0701 3.0245
1.8329 4.0145 9.0736

# 14
NaDy3Rh, relaxed, DFT PBE; N(E_F) = 2.30 states/eV/cell; formation enthalpy at 0 K = -1.09 eV per formula unit
1.0
5.4423 0.0000 0.0000
0.0000 5.4423 0.0000
0.0000 0.0000 5.4423
Dy Rh Na
3 1 1
Cartesian
2.7211 0.0000 0.0000
0.0000 2.7211 0.0000
0.0000 0.0000 2.7211
0.0000 0.0000 0.0000
2.7211 2.7211 2.7211

# 15
Ac2NpAuO8, relaxed, DFT PBE; E_form (uncorrected) = -2.45 eV per atom
1.0
-1.2773 0.7327 4.3810
3.1020 -4.4801 0.8129
5.3328 5.6740 1.3323
O Ac Np Au
8 2 1 1
Cartesian
2.9027 1.6400 2.2571
0.5837 0.3130 4.3511
5.4634 4.9632 3.1744
1.6940 -3.0366 3.3518
6.5738 1.6136 2.1751
4.2548 0.2866 4.2691
3.8560 -2.3058 1.1567
3.3015 4.2324 5.3695
2.5725 -0.6796 2.7974
4.5850 2.6062 3.7288
0.0000 0.0000 0.0000
2.6664 2.8370 0.6661

# 16
MnNi2Pd8, relaxed, DFT PBE; N(E_F) = 14.48 states/eV/cell; formation enthalpy at 0 K = 1.19 eV per formula unit
1.0
4.4334 0.8660 0.0000
1.4199 6.9481 0.0000
0.7100 3.4740 5.7404
Pd Ni Mn
8 2 1
Cartesian
2.9267 3.9071 3.1758
3.6366 7.3811 2.5646
4.2209 2.1940 1.3528
1.9380 2.9757 0.0000
2.3424 9.0941 4.3876
1.6324 5.6201 1.3528
3.9154 4.8384 0.0000
4.9309 5.6681 4.3876
0.7099 3.4740 2.1822
1.4199 6.9481 3.5582
2.2167 0.4330 0.0000

# 17
Li3InHg12, relaxed, DFT PBE; N(E_F) = 7.74 states/eV/cell; formation enthalpy at 0 K = -1.72 eV per formula unit
1.0
4.3857 0.0000 0.0000
0.0000 4.3703 0.0000
0.0001 0.0000 19.9127
Hg Li In
12 3 1
Cartesian
2.1929 2.1852 14.7381
2.1929 0.0000 7.5575
2.1929 0.0000 12.3553
2.1929 0.0000 17.1814
4.3858 2.1852 17.1637
2.1929 2.1852 0.0000
0.0000 2.1852 2.7491
0.0000 2.1852 7.5587
2.1929 0.0000 2.7314
2.1929 2.1852 9.9564
0.0001 2.1852 12.3541
2.1929 2.1852 5.1747
0.0001 0.0000 14.7571
4.3857 0.0000 5.1556
0.0000 0.0000 9.9564
0.0000 0.0000 0.0000

# 18
LiPr2Br6, relaxed, DFT PBE; N(E_F) = 2.51 states/eV/cell; E_form (uncorrected) = -1.70 eV per atom
1.0
-2.0041 3.2658 0.2762
-6.4127 -1.3242 -4.1572
-7.3764 -2.9356 7.9052
Pr Br Li
2 6 1
Cartesian
-12.5225 -1.0597 1.8163
-3.2707 0.0657 2.2079
-8.7231 1.5344 -1.2880
-6.2014 0.4675 2.9085
-11.5605 -2.9156 4.0246
-4.2327 1.9216 -0.0004
-9.5918 -1.4615 1.1157
-7.0701 -2.5284 5.3122
0.0000 0.0000 0.0000

# 19
CsRb2OsI6, relaxed, DFT PBE; N(E_F) = 10.00 states/eV/cell; E_form (uncorrected) = -0.71 eV per atom
1.0
8.8614 0.0000 0.0000
0.0000 8.8614 0.0000
4.4307 4.4307 6.2660
Rb I Cs Os
2 6 1 1
Cartesian
8.8614 4.4307 3.1330
4.4307 8.8614 3.1330
6.9473 6.9473 0.0000
1.9141 6.9473 0.0000
1.9141 1.9141 0.0000
4.4307 4.4307 3.5589
6.9473 1.9141 0.0000
8.8614 8.8614 2.7071
4.4307 4.4307 0.0000
0.0000 0.0000 0.0000

# 20
KSr, relaxed, DFT PBE; N(E_F) = 16.60 states/eV/cell; formation enthalpy at 0 K = 0.21 eV per formula unit
1.0
8.7549 0.0000 0.0000
0.0000 8.7549 0.0000
0.0000 0.0000 12.8671
K Sr
8 8
Cartesian
0.0000 6.5662 1.6084
2.1887 0.0000 11.2587
6.5662 4.3775 4.8252
0.0000 2.1887 1.6084
4.3775 6.5662 8.0420
2.1887 4.3775 4.8252
4.3775 2.1887 8.0420
6.5662 0.0000 11.2587
2.1887 0.0000 4.8252
4.3775 6.5662 1.6084
2.1887 4.3775 11.2587
4.3775 2.1887 1.6084
6.5662 4.3775 11.2587
0.0000 6.5662 8.0420
6.5662 0.0000 4.8252
0.0000 2.1887 8.0420

# 21
PmGeCl, relaxed, DFT PBE; N(E_F) = 2.27 states/eV/cell; E_form (uncorrected) = -1.21 eV per atom
1.0
4.2171 0.0000 0.0000
0.0000 8.0025 -0.1647
-2.1086 -1.7462 4.8642
Pm Cl Ge
2 2 2
Cartesian
2.1085 5.1768 2.8837
0.0000 1.0795 1.8158
2.1086 2.2714 3.2362
0.0000 3.9850 1.4633
0.0000 -0.7718 4.1745
2.1086 7.0282 0.5251

# 22
BaCa2Bi2, relaxed, DFT PBE; N(E_F) = 4.36 states/eV/cell; formation enthalpy at 0 K = -3.71 eV per formula unit
1.0
9.4574 0.0000 0.0000
0.0000 9.4574 0.0000
0.0000 0.0000 4.0866
Ca Bi Ba
4 4 2
Cartesian
3.4318 1.2969 2.0433
1.2969 6.0256 2.0433
6.0256 8.1605 2.0433
8.1605 3.4318 2.0433
3.2167 7.9454 0.0000
6.2407 1.5120 0.0000
7.9454 6.2407 0.0000
1.5120 3.2167 0.0000
0.0000 0.0000 0.0000
4.7287 4.7287 0.0000

# 23
AlCo2Pd, relaxed, DFT PBE; N(E_F) = 7.03 states/eV/cell; formation enthalpy at 0 K = 0.24 eV per formula unit
1.0
3.5089 0.0000 0.0000
0.0000 3.5089 0.0000
1.7545 1.7545 9.0764
Co Al Pd
4 2 2
Cartesian
4.3861 4.2774 6.8073
2.6317 2.7404 6.8073
0.9859 2.6317 2.2691
2.5230 0.8772 2.2691
1.7545 3.5089 4.5382
1.7545 1.7545 0.0000
0.0000 0.0000 0.0000
3.5089 1.7545 4.5382

no.,calculated volume (A^3/atom)
1,22.008
2,15.669
3,36.838
4,32.802
5,32.686
6,37.139
7,11.350
8,29.926
9,19.656
10,17.241
11,18.836
12,29.048
13,16.866
14,32.238
15,16.287
16,15.433
17,23.854
18,34.849
19,49.203
20,61.641
21,27.157
22,36.552
23,13.969